[1]
Pr6NiRu2I3 | PBE | optimized geometry

Geometry as CIF:
```
data_Pr6NiRu2I3
_cell_length_a 7.214
_cell_length_b 7.214
_cell_length_c 8.595
_cell_angle_alpha 98.04
_cell_angle_beta 98.04
_cell_angle_gamma 120.00
_space_group_name_H-M_alt 'P 1'
_space_group_IT_number 1
loop_
_space_group_symop_operation_xyz
'x,y,z'
loop_
_atom_site_label
_atom_site_fract_x
_atom_site_fract_y
_atom_site_fract_z
_atom_site_occupancy
Pr1 0.101 0.438 0.814 1
Pr2 0.225 0.225 0.186 1
Pr3 0.438 0.101 0.814 1
Pr4 0.562 0.899 0.186 1
Pr5 0.775 0.775 0.814 1
Pr6 0.899 0.562 0.186 1
Ni1 0.500 0.500 0.000 1
Ru1 0.167 0.833 0.000 1
Ru2 0.833 0.167 0.000 1
I1 0.000 0.000 0.500 1
I2 0.332 0.668 0.500 1
I3 0.668 0.332 0.500 1
```

## Properties
The calculation puts the total energy at -65.67 eV for the cell shown. Its formation energy (no corrections) is -0.67 eV/atom.


[2]
Pr8Ni3SI4 | PBE | optimized geometry

Geometry as CIF:
```
data_Pr8Ni3SI4
_cell_length_a 9.325
_cell_length_b 9.325
_cell_length_c 9.325
_cell_angle_alpha 53.45
_cell_angle_beta 53.45
_cell_angle_gamma 53.45
_space_group_name_H-M_alt 'P 1'
_space_group_IT_number 1
loop_
_space_group_symop_operation_xyz
'x,y,z'
loop_
_atom_site_label
_atom_site_fract_x
_atom_site_fract_y
_atom_site_fract_z
_atom_site_occupancy
Pr1 0.223 0.734 0.734 1
Pr2 0.227 0.227 0.227 1
Pr3 0.266 0.266 0.777 1
Pr4 0.266 0.777 0.266 1
Pr5 0.734 0.223 0.734 1
Pr6 0.734 0.734 0.223 1
Pr7 0.773 0.773 0.773 1
Pr8 0.777 0.266 0.266 1
Ni1 0.000 0.000 0.500 1
Ni2 0.000 0.500 0.000 1
Ni3 0.500 0.000 0.000 1
S1 0.500 0.500 0.500 1
I1 0.000 0.000 0.000 1
I2 0.000 0.500 0.500 1
I3 0.500 0.000 0.500 1
I4 0.500 0.500 0.000 1
```

## Properties
The calculation puts the total energy at -79.51 eV for the cell shown. Its formation energy (no corrections) is -0.85 eV/atom.


[3]
Pr4NiSI2 | PBE | optimized geometry

Geometry as CIF:
```
data_Pr4NiSI2
_cell_length_a 7.427
_cell_length_b 4.086
_cell_length_c 8.241
_cell_angle_alpha 90.00
_cell_angle_beta 106.81
_cell_angle_gamma 90.00
_space_group_name_H-M_alt 'P 1'
_space_group_IT_number 1
loop_
_space_group_symop_operation_xyz
'x,y,z'
loop_
_atom_site_label
_atom_site_fract_x
_atom_site_fract_y
_atom_site_fract_z
_atom_site_occupancy
Pr1 0.213 0.000 0.188 1
Pr2 0.273 0.500 0.807 1
Pr3 0.727 0.500 0.193 1
Pr4 0.787 0.000 0.812 1
Ni1 0.000 0.500 0.000 1
S1 0.500 0.000 0.000 1
I1 0.000 0.000 0.500 1
I2 0.500 0.500 0.500 1
```

## Properties
The calculation puts the total energy at -40.74 eV for the cell shown. Its formation energy (no corrections) is -1.08 eV/atom.


[4]
Pr6Ni2SI3 | PBE | optimized geometry

Geometry as CIF:
```
data_Pr6Ni2SI3
_cell_length_a 7.316
_cell_length_b 7.316
_cell_length_c 8.246
_cell_angle_alpha 98.50
_cell_angle_beta 98.50
_cell_angle_gamma 119.87
_space_group_name_H-M_alt 'P 1'
_space_group_IT_number 1
loop_
_space_group_symop_operation_xyz
'x,y,z'
loop_
_atom_site_label
_atom_site_fract_x
_atom_site_fract_y
_atom_site_fract_z
_atom_site_occupancy
Pr1 0.089 0.437 0.813 1
Pr2 0.213 0.213 0.186 1
Pr3 0.437 0.089 0.813 1
Pr4 0.563 0.911 0.187 1
Pr5 0.787 0.787 0.814 1
Pr6 0.911 0.563 0.187 1
Ni1 0.167 0.833 0.000 1
Ni2 0.833 0.167 0.000 1
S1 0.500 0.500 0.000 1
I1 0.000 0.000 0.500 1
I2 0.337 0.663 0.500 1
I3 0.663 0.337 0.500 1
```

## Properties
The calculation puts the total energy at -60.29 eV for the cell shown. Its formation energy (no corrections) is -0.94 eV/atom.


[5]
Pr8NiSe3I4 | PBE | optimized geometry

Geometry as CIF:
```
data_Pr8NiSe3I4
_cell_length_a 9.237
_cell_length_b 9.237
_cell_length_c 9.237
_cell_angle_alpha 55.79
_cell_angle_beta 55.79
_cell_angle_gamma 55.79
_space_group_name_H-M_alt 'P 1'
_space_group_IT_number 1
loop_
_space_group_symop_operation_xyz
'x,y,z'
loop_
_atom_site_label
_atom_site_fract_x
_atom_site_fract_y
_atom_site_fract_z
_atom_site_occupancy
Pr1 0.232 0.232 0.232 1
Pr2 0.253 0.720 0.720 1
Pr3 0.280 0.280 0.747 1
Pr4 0.280 0.747 0.280 1
Pr5 0.720 0.253 0.720 1
Pr6 0.720 0.720 0.253 1
Pr7 0.747 0.280 0.280 1
Pr8 0.768 0.768 0.768 1
Ni1 0.500 0.500 0.500 1
Se1 0.000 0.000 0.500 1
Se2 0.000 0.500 0.000 1
Se3 0.500 0.000 0.000 1
I1 0.000 0.000 0.000 1
I2 0.000 0.500 0.500 1
I3 0.500 0.000 0.500 1
I4 0.500 0.500 0.000 1
```

## Properties
The calculation puts the total energy at -79.89 eV for the cell shown. Its formation energy (no corrections) is -1.20 eV/atom.


[6]
Pr8Ni3SeI4 | PBE | optimized geometry

Geometry as CIF:
```
data_Pr8Ni3SeI4
_cell_length_a 9.345
_cell_length_b 9.345
_cell_length_c 9.345
_cell_angle_alpha 53.91
_cell_angle_beta 53.91
_cell_angle_gamma 53.91
_space_group_name_H-M_alt 'P 1'
_space_group_IT_number 1
loop_
_space_group_symop_operation_xyz
'x,y,z'
loop_
_atom_site_label
_atom_site_fract_x
_atom_site_fract_y
_atom_site_fract_z
_atom_site_occupancy
Pr1 0.216 0.739 0.739 1
Pr2 0.227 0.227 0.227 1
Pr3 0.261 0.261 0.784 1
Pr4 0.261 0.784 0.261 1
Pr5 0.739 0.216 0.739 1
Pr6 0.739 0.739 0.216 1
Pr7 0.773 0.773 0.773 1
Pr8 0.784 0.261 0.261 1
Ni1 0.000 0.000 0.500 1
Ni2 0.000 0.500 0.000 1
Ni3 0.500 0.000 0.000 1
Se1 0.500 0.500 0.500 1
I1 0.000 0.000 0.000 1
I2 0.000 0.500 0.500 1
I3 0.500 0.000 0.500 1
I4 0.500 0.500 0.000 1
```

## Properties
The calculation puts the total energy at -78.48 eV for the cell shown. Its formation energy (no corrections) is -0.83 eV/atom.


[7]
Pr8SiNi3I4 | PBE | optimized geometry

Geometry as CIF:
```
data_Pr8SiNi3I4
_cell_length_a 9.390
_cell_length_b 9.390
_cell_length_c 9.390
_cell_angle_alpha 53.57
_cell_angle_beta 53.57
_cell_angle_gamma 53.57
_space_group_name_H-M_alt 'P 1'
_space_group_IT_number 1
loop_
_space_group_symop_operation_xyz
'x,y,z'
loop_
_atom_site_label
_atom_site_fract_x
_atom_site_fract_y
_atom_site_fract_z
_atom_site_occupancy
Pr1 0.221 0.735 0.735 1
Pr2 0.228 0.228 0.228 1
Pr3 0.265 0.265 0.779 1
Pr4 0.265 0.779 0.265 1
Pr5 0.735 0.221 0.735 1
Pr6 0.735 0.735 0.221 1
Pr7 0.772 0.772 0.772 1
Pr8 0.779 0.265 0.265 1
Si1 0.500 0.500 0.500 1
Ni1 0.000 0.000 0.500 1
Ni2 0.000 0.500 0.000 1
Ni3 0.500 0.000 0.000 1
I1 0.000 0.000 0.000 1
I2 0.000 0.500 0.500 1
I3 0.500 0.000 0.500 1
I4 0.500 0.500 0.000 1
```

## Properties
The calculation puts the total energy at -78.16 eV for the cell shown. Its formation energy (no corrections) is -0.68 eV/atom.


[8]
Pr8Si3NiI4 | PBE | optimized geometry

Geometry as CIF:
```
data_Pr8Si3NiI4
_cell_length_a 9.252
_cell_length_b 9.252
_cell_length_c 9.252
_cell_angle_alpha 55.87
_cell_angle_beta 55.87
_cell_angle_gamma 55.87
_space_group_name_H-M_alt 'P 1'
_space_group_IT_number 1
loop_
_space_group_symop_operation_xyz
'x,y,z'
loop_
_atom_site_label
_atom_site_fract_x
_atom_site_fract_y
_atom_site_fract_z
_atom_site_occupancy
Pr1 0.234 0.234 0.234 1
Pr2 0.241 0.727 0.727 1
Pr3 0.273 0.273 0.759 1
Pr4 0.273 0.759 0.273 1
Pr5 0.727 0.241 0.727 1
Pr6 0.727 0.727 0.241 1
Pr7 0.759 0.273 0.273 1
Pr8 0.766 0.766 0.766 1
Si1 0.000 0.000 0.500 1
Si2 0.000 0.500 0.000 1
Si3 0.500 0.000 0.000 1
Ni1 0.500 0.500 0.500 1
I1 0.000 0.000 0.000 1
I2 0.000 0.500 0.500 1
I3 0.500 0.000 0.500 1
I4 0.500 0.500 0.000 1
```

## Properties
The calculation puts the total energy at -80.05 eV for the cell shown. Its formation energy (no corrections) is -0.85 eV/atom.


[9]
Pr4SiNiI2 | PBE | optimized geometry

Geometry as CIF:
```
data_Pr4SiNiI2
_cell_length_a 7.676
_cell_length_b 4.169
_cell_length_c 8.185
_cell_angle_alpha 90.00
_cell_angle_beta 106.58
_cell_angle_gamma 90.00
_space_group_name_H-M_alt 'P 1'
_space_group_IT_number 1
loop_
_space_group_symop_operation_xyz
'x,y,z'
loop_
_atom_site_label
_atom_site_fract_x
_atom_site_fract_y
_atom_site_fract_z
_atom_site_occupancy
Pr1 0.214 0.000 0.185 1
Pr2 0.264 0.500 0.800 1
Pr3 0.736 0.500 0.200 1
Pr4 0.786 0.000 0.815 1
Si1 0.500 0.000 0.000 1
Ni1 0.000 0.500 0.000 1
I1 0.000 0.000 0.500 1
I2 0.500 0.500 0.500 1
```

## Properties
The calculation puts the total energy at -39.49 eV for the cell shown. Its formation energy (no corrections) is -0.76 eV/atom.


[10]
Pr6SiNi2I3 | PBE | optimized geometry

Geometry as CIF:
```
data_Pr6SiNi2I3
_cell_length_a 7.355
_cell_length_b 7.355
_cell_length_c 8.327
_cell_angle_alpha 98.50
_cell_angle_beta 98.50
_cell_angle_gamma 119.86
_space_group_name_H-M_alt 'P 1'
_space_group_IT_number 1
loop_
_space_group_symop_operation_xyz
'x,y,z'
loop_
_atom_site_label
_atom_site_fract_x
_atom_site_fract_y
_atom_site_fract_z
_atom_site_occupancy
Pr1 0.090 0.435 0.808 1
Pr2 0.218 0.218 0.190 1
Pr3 0.435 0.090 0.808 1
Pr4 0.565 0.910 0.192 1
Pr5 0.782 0.782 0.810 1
Pr6 0.910 0.565 0.192 1
Si1 0.500 0.500 0.000 1
Ni1 0.167 0.833 0.000 1
Ni2 0.833 0.167 0.000 1
I1 0.000 0.000 0.500 1
I2 0.339 0.661 0.500 1
I3 0.661 0.339 0.500 1
```

## Properties
The calculation puts the total energy at -58.76 eV for the cell shown. Its formation energy (no corrections) is -0.70 eV/atom.


[11]
PrThNiI | PBE | optimized geometry

Geometry as CIF:
```
data_PrThNiI
_cell_length_a 4.069
_cell_length_b 4.069
_cell_length_c 8.373
_cell_angle_alpha 103.95
_cell_angle_beta 103.95
_cell_angle_gamma 65.17
_space_group_name_H-M_alt 'P 1'
_space_group_IT_number 1
loop_
_space_group_symop_operation_xyz
'x,y,z'
loop_
_atom_site_label
_atom_site_fract_x
_atom_site_fract_y
_atom_site_fract_z
_atom_site_occupancy
Pr1 0.000 0.000 0.000 1
Th1 0.224 0.224 0.636 1
Ni1 0.607 0.607 0.801 1
I1 0.769 0.769 0.319 1
```

## Properties
The calculation puts the total energy at -21.86 eV for the cell shown. Its formation energy (no corrections) is -0.58 eV/atom.


[12]
PrYNiI | PBE | optimized geometry

Geometry as CIF:
```
data_PrYNiI
_cell_length_a 8.340
_cell_length_b 8.340
_cell_length_c 8.340
_cell_angle_alpha 28.37
_cell_angle_beta 28.37
_cell_angle_gamma 28.37
_space_group_name_H-M_alt 'P 1'
_space_group_IT_number 1
loop_
_space_group_symop_operation_xyz
'x,y,z'
loop_
_atom_site_label
_atom_site_fract_x
_atom_site_fract_y
_atom_site_fract_z
_atom_site_occupancy
Pr1 0.000 0.000 0.000 1
Y1 0.212 0.212 0.212 1
Ni1 0.604 0.604 0.604 1
I1 0.777 0.777 0.777 1
```

## Properties
The calculation puts the total energy at -21.18 eV for the cell shown. Its formation energy (no corrections) is -0.65 eV/atom.